Below is a relaxed structure of LiNdAg3S4, with properties calculated at the GGA-PBE level.

Values from the calculation:
Volume   25.12 Å³ per atom
Space group   P-43m
Total DFT energy (no corrections)   -4.113 eV per atom

a b c (Å): 6.0917 6.0917 6.0917
angles (deg): 90.00 90.00 90.00
With the nearest neighbours (Å) after each atom.
Positions (direct):
Li: 0.0000 0.0000 0.0000  4 S 2.59
Nd: 0.5000 0.5000 0.5000  4 S 2.69
Ag: 0.0000 0.5000 0.5000  4 S 2.66
Ag: 0.5000 0.0000 0.5000  4 S 2.66
Ag: 0.5000 0.5000 0.0000  4 S 2.66
S: 0.2452 0.2452 0.2452  1 Li 2.59, 3 Ag 2.66, 1 Nd 2.69
S: 0.2452 0.7548 0.7548  1 Li 2.59, 3 Ag 2.66, 1 Nd 2.69
S: 0.7548 0.2452 0.7548  1 Li 2.59, 3 Ag 2.66, 1 Nd 2.69
S: 0.7548 0.7548 0.2452  1 Li 2.59, 3 Ag 2.66, 1 Nd 2.69